# 1
Entry from the Alexandria database: crystalline CaSi5 at its relaxed geometry (GGA-PBE).

## Properties
Crystal system: cubic
Total moment: 0.00 μB per formula unit
Excess energy over the best structure of this formula in the dataset: 78 meV/atom
Energy: -4.652 eV per atom
Density: 2.97 g cm⁻³

Unit cell a=5.2280 b=5.2280 c=5.2280 alpha=60.00 beta=60.00 gamma=60.00
Fractional coordinates of all 6 atoms:
Ca 0.0000 0.0000 0.0000
Si 0.2500 0.2500 0.2500
Si 0.6232 0.6232 0.6232
Si 0.6232 0.6232 0.1303
Si 0.1303 0.6232 0.6232
Si 0.6232 0.1303 0.6232

---

# 2
Entry from the Alexandria database: crystalline PmNd5Tm6 at its relaxed geometry (GGA-PBE).

## Properties
Crystal system: orthorhombic
Formation energy: 19 meV per atom
Total moment: 0.00 μB per formula unit
Energy: -4.599 eV per atom
Density: 8.02 g cm⁻³

Unit cell a=5.1068 b=9.9749 c=9.4754 alpha=121.75 beta=105.62 gamma=90.03
Fractional coordinates of all 12 atoms:
Tm 0.8334 0.5835 0.6668
Tm 0.8334 0.0833 0.6668
Tm 0.5000 0.7502 0.0000
Tm 0.5000 0.2498 0.0000
Tm 0.1666 0.9167 0.3332
Tm 0.1666 0.4165 0.3332
Nd 0.6663 0.1663 0.3325
Nd 0.3333 0.3333 0.6665
Nd 0.0000 0.5000 0.0000
Nd 0.6667 0.6667 0.3335
Nd 0.3337 0.8337 0.6675
Pm 0.0000 0.0000 0.0000

---

# 3
Entry from the Alexandria database: crystalline MnTe2P at its relaxed geometry (GGA-PBE).

## Properties
Crystal system: orthorhombic
Total moment: 0.55 μB per formula unit
Energy: -5.127 eV per atom
Density: 5.87 g cm⁻³

Unit cell a=6.0104 b=6.0104 c=3.9899 alpha=90.00 beta=90.00 gamma=137.98
Site moments in Bohr magnetons follow the coordinates.
Fractional coordinates of all 4 atoms:
Mn 0.5000 0.5000 0.5000  0.60
Te 0.6494 0.3506 0.0000  0.00
Te 0.3506 0.6494 0.0000  0.00
P 0.0000 0.0000 0.5000  -0.04